Here is a geometry-optimized Cr2TcAu structure from Alexandria via LeMat-Bulk. Energies are from PBE-GGA.

As for the crystal system: orthorhombic. The electronic total energy comes out at -7.93 eV/atom. The volume comes out at 56.7 Å³/f.u. Its formation enthalpy at 0 K is 0.2898 eV per atom. For the total magnetization, the calculation gives 0.0 μB per formula unit.

The structure belongs to space group Cmm2 (No. 35); the cell edges are 3.016, 4.357 and 8.628 Å and the angles 90.00°, 90.00° and 90.00°. The inequivalent atoms are Cr at (0.000, 0.000, 0.000), Cr at (0.000, 0.500, 0.208), Tc at (0.000, 0.500, 0.765) and Au at (0.000, 0.000, 0.477).



Here is a geometry-optimized CrTcAu2 structure from Alexandria via LeMat-Bulk. Energies are from PBE-GGA.

As for the crystal system: orthorhombic. The electronic total energy comes out at -6.27 eV/atom. The distance to the lowest polymorph of the same formula is 179 meV per atom. The volume comes out at 64.5 Å³/f.u. Its formation enthalpy at 0 K is 0.3703 eV per atom. For the total magnetization, the calculation gives 2.9 μB per formula unit.

The structure belongs to space group Cmmm (No. 65); the cell edges are 5.499, 8.250 and 2.844 Å and the angles 90.00°, 90.00° and 90.00°. The inequivalent atoms are Cr at (0.000, 0.000, 0.000), Tc at (0.000, 0.500, 0.000) and Au at (0.250, 0.250, 0.500).



Here is a geometry-optimized CrTc2Au structure from Alexandria via LeMat-Bulk. Energies are from PBE-GGA.

As for the crystal system: tetragonal. The electronic total energy comes out at -8.15 eV/atom. The distance to the lowest polymorph of the same formula is 40 meV per atom. The volume comes out at 59.1 Å³/f.u. Its formation enthalpy at 0 K is 0.2551 eV per atom. For the total magnetization, the calculation gives 0.0 μB per formula unit.

The structure belongs to space group P4mm (No. 99); the cell edges are 2.724, 2.724 and 7.961 Å and the angles 90.00°, 90.00° and 90.00°. The inequivalent atoms are Cr at (0.000, 0.000, 0.000), Tc at (0.000, 0.000, 0.461), Tc at (0.500, 0.500, 0.226) and Au at (0.500, 0.500, 0.742).



Here is a geometry-optimized Cr2TcAu structure from Alexandria via LeMat-Bulk. Energies are from PBE-GGA.

As for the crystal system: monoclinic. The electronic total energy comes out at -7.92 eV/atom. The volume comes out at 56.0 Å³/f.u. Its formation enthalpy at 0 K is 0.3020 eV per atom. For the total magnetization, the calculation gives 0.0 μB per formula unit.

The structure belongs to space group Cm (No. 8); the cell edges are 9.347, 2.850 and 4.500 Å and the angles 90.00°, 110.98° and 90.00°. The inequivalent atoms are Cr at (0.000, 0.000, 0.000), Cr at (0.193, 0.500, 0.268), Tc at (0.239, 0.000, 0.811) and Au at (0.457, 0.000, 0.468).



Here is a geometry-optimized CrTcAu3 structure from Alexandria via LeMat-Bulk. Energies are from PBE-GGA.

As for the crystal system: cubic. The electronic total energy comes out at -4.46 eV/atom. The distance to the lowest polymorph of the same formula is 0 meV per atom. The volume comes out at 109.6 Å³/f.u. Its formation enthalpy at 0 K is 1.5071 eV per atom. For the total magnetization, the calculation gives 4.2 μB per formula unit.

The structure belongs to space group Pm-3m (No. 221); the cell edges are 4.785, 4.785 and 4.785 Å and the angles 90.00°, 90.00° and 90.00°. The inequivalent atoms are Cr at (0.000, 0.000, 0.000), Tc at (0.500, 0.500, 0.500) and Au at (0.000, 0.000, 0.500).



Here is a geometry-optimized CrTcAu2 structure from Alexandria via LeMat-Bulk. Energies are from PBE-GGA.

As for the crystal system: orthorhombic. The electronic total energy comes out at -6.28 eV/atom. The distance to the lowest polymorph of the same formula is 170 meV per atom. The volume comes out at 64.9 Å³/f.u. Its formation enthalpy at 0 K is 0.3608 eV per atom. For the total magnetization, the calculation gives 1.8 μB per formula unit.

The structure belongs to space group Pmmm (No. 47); the cell edges are 2.936, 4.070 and 5.433 Å and the angles 90.00°, 90.00° and 90.00°. The inequivalent atoms are Cr at (0.000, 0.000, 0.000), Tc at (0.000, 0.000, 0.500) and Au at (0.500, 0.500, 0.251).



Here is a geometry-optimized CrTcAu2 structure from Alexandria via LeMat-Bulk. Energies are from PBE-GGA.

As for the crystal system: orthorhombic. The electronic total energy comes out at -6.37 eV/atom. The distance to the lowest polymorph of the same formula is 78 meV per atom. The volume comes out at 64.5 Å³/f.u. Its formation enthalpy at 0 K is 0.2696 eV per atom. For the total magnetization, the calculation gives 0.8 μB per formula unit.

The structure belongs to space group Imm2 (No. 44); the cell edges are 3.784, 4.224 and 8.072 Å and the angles 90.00°, 90.00° and 90.00°. The inequivalent atoms are Cr at (0.000, 0.000, 0.000), Tc at (0.000, 0.500, 0.710), Au at (0.000, 0.000, 0.476) and Au at (0.000, 0.500, 0.239).



Here is a geometry-optimized Cr2TcAu structure from Alexandria via LeMat-Bulk. Energies are from PBE-GGA.

As for the crystal system: orthorhombic. The electronic total energy comes out at -7.87 eV/atom. The volume comes out at 55.8 Å³/f.u. Its formation enthalpy at 0 K is 0.3499 eV per atom. For the total magnetization, the calculation gives 0.0 μB per formula unit.

The structure belongs to space group Cmmm (No. 65); the cell edges are 5.439, 7.319 and 2.805 Å and the angles 90.00°, 90.00° and 90.00°. The inequivalent atoms are Cr at (0.250, 0.250, 0.000), Tc at (0.000, 0.000, 0.500) and Au at (0.000, 0.500, 0.500).



Here is a geometry-optimized CrTc2Au structure from Alexandria via LeMat-Bulk. Energies are from PBE-GGA.

As for the crystal system: cubic. The electronic total energy comes out at -7.99 eV/atom. The distance to the lowest polymorph of the same formula is 208 meV per atom. The volume comes out at 61.1 Å³/f.u. Its formation enthalpy at 0 K is 0.4229 eV per atom. For the total magnetization, the calculation gives 2.2 μB per formula unit.

The structure belongs to space group F-43m (No. 216); the cell edges are 6.253, 6.253 and 6.253 Å and the angles 90.00°, 90.00° and 90.00°. The inequivalent atoms are Cr at (0.000, 0.000, 0.000), Tc at (0.000, 0.000, 0.500), Tc at (0.250, 0.250, 0.250) and Au at (0.250, 0.250, 0.750).



Here is a geometry-optimized CrTcAu2 structure from Alexandria via LeMat-Bulk. Energies are from PBE-GGA.

As for the crystal system: orthorhombic. The electronic total energy comes out at -6.38 eV/atom. The distance to the lowest polymorph of the same formula is 68 meV per atom. The volume comes out at 64.0 Å³/f.u. Its formation enthalpy at 0 K is 0.2598 eV per atom. For the total magnetization, the calculation gives 0.0 μB per formula unit.

The structure belongs to space group Cmm2 (No. 35); the cell edges are 3.061, 4.567 and 9.158 Å and the angles 90.00°, 90.00° and 90.00°. The inequivalent atoms are Cr at (0.000, 0.000, 0.000), Tc at (0.000, 0.500, 0.197), Au at (0.000, 0.000, 0.467) and Au at (0.000, 0.500, 0.749).



Here is a geometry-optimized Cr2TcAu structure from Alexandria via LeMat-Bulk. Energies are from PBE-GGA.

As for the crystal system: tetragonal. The electronic total energy comes out at -7.90 eV/atom. The volume comes out at 56.6 Å³/f.u. Its formation enthalpy at 0 K is 0.3213 eV per atom. For the total magnetization, the calculation gives 0.0 μB per formula unit.

The structure belongs to space group P4/mmm (No. 123); the cell edges are 2.704, 2.704 and 7.741 Å and the angles 90.00°, 90.00° and 90.00°. The inequivalent atoms are Cr at (0.000, 0.000, 0.229), Tc at (0.500, 0.500, 0.000) and Au at (0.500, 0.500, 0.500).



Here is a geometry-optimized CrTc2Au structure from Alexandria via LeMat-Bulk. Energies are from PBE-GGA.

As for the crystal system: orthorhombic. The electronic total energy comes out at -8.19 eV/atom. The distance to the lowest polymorph of the same formula is 0 meV per atom. The volume comes out at 59.3 Å³/f.u. Its formation enthalpy at 0 K is 0.2149 eV per atom. For the total magnetization, the calculation gives 0.3 μB per formula unit.

The structure belongs to space group Pmmm (No. 47); the cell edges are 2.799, 3.763 and 5.631 Å and the angles 90.00°, 90.00° and 90.00°. The inequivalent atoms are Cr at (0.000, 0.000, 0.000), Tc at (0.500, 0.500, 0.212) and Au at (0.000, 0.000, 0.500).



Here is a geometry-optimized CrTc2Au structure from Alexandria via LeMat-Bulk. Energies are from PBE-GGA.

As for the crystal system: tetragonal. The electronic total energy comes out at -7.74 eV/atom. The distance to the lowest polymorph of the same formula is 455 meV per atom. The volume comes out at 66.8 Å³/f.u. Its formation enthalpy at 0 K is 0.6702 eV per atom. For the total magnetization, the calculation gives 3.0 μB per formula unit.

The structure belongs to space group I-42d (No. 122); the cell edges are 3.768, 3.768 and 18.817 Å and the angles 90.00°, 90.00° and 90.00°. The inequivalent atoms are Cr at (0.000, 0.000, 0.000), Tc at (0.202, 0.250, 0.125) and Au at (0.000, 0.000, 0.500).



Here is a geometry-optimized CrTc2Au structure from Alexandria via LeMat-Bulk. Energies are from PBE-GGA.

As for the crystal system: tetragonal. The electronic total energy comes out at -8.16 eV/atom. The distance to the lowest polymorph of the same formula is 36 meV per atom. The volume comes out at 58.7 Å³/f.u. Its formation enthalpy at 0 K is 0.2513 eV per atom. For the total magnetization, the calculation gives 1.1 μB per formula unit.

The structure belongs to space group I-4m2 (No. 119); the cell edges are 3.908, 3.908 and 7.680 Å and the angles 90.00°, 90.00° and 90.00°. The inequivalent atoms are Cr at (0.000, 0.000, 0.000), Tc at (0.000, 0.000, 0.500), Tc at (0.000, 0.500, 0.250) and Au at (0.000, 0.500, 0.750).



Here is a geometry-optimized CrTc2Au structure from Alexandria via LeMat-Bulk. Energies are from PBE-GGA.

As for the crystal system: monoclinic. The electronic total energy comes out at -8.12 eV/atom. The distance to the lowest polymorph of the same formula is 75 meV per atom. The volume comes out at 59.0 Å³/f.u. Its formation enthalpy at 0 K is 0.2895 eV per atom. For the total magnetization, the calculation gives 0.6 μB per formula unit.

The structure belongs to space group C2/m (No. 12); the cell edges are 9.130, 2.813 and 4.713 Å and the angles 90.00°, 102.80° and 90.00°. The inequivalent atoms are Cr at (0.000, 0.000, 0.000), Tc at (0.237, 0.500, 0.223) and Au at (0.000, 0.500, 0.500).